This record from Alexandria describes a PBEsol-optimized structure of Y2MgTl. The functional is meta-GGA SCAN.

Geometry as CIF:
```
data_Y2MgTl
_cell_length_a 7.4559
_cell_length_b 7.4559
_cell_length_c 7.4559
_cell_angle_alpha 90.00
_cell_angle_beta 90.00
_cell_angle_gamma 90.00
_space_group_name_H-M_alt 'F m -3 m'
_space_group_IT_number 225
_space_group_name_Hall '-F 4 2 3'
loop_
_atom_site_label
_atom_site_type_symbol
_atom_site_fract_x
_atom_site_fract_y
_atom_site_fract_z
_atom_site_occupancy
Y1 Y 0.2500 0.2500 0.2500 1
Mg1 Mg 0.0000 0.0000 0.0000 1
Tl1 Tl 0.0000 0.0000 0.5000 1
```

This record from Alexandria describes a PBEsol-optimized structure of Y2MgTl. The functional is meta-GGA SCAN.

Geometry as CIF:
```
data_Y2MgTl
_cell_length_a 3.5009
_cell_length_b 4.3102
_cell_length_c 6.8979
_cell_angle_alpha 90.00
_cell_angle_beta 90.00
_cell_angle_gamma 90.00
_space_group_name_H-M_alt 'P m m m'
_space_group_IT_number 47
_space_group_name_Hall '-P 2 2'
loop_
_atom_site_label
_atom_site_type_symbol
_atom_site_fract_x
_atom_site_fract_y
_atom_site_fract_z
_atom_site_occupancy
Y1 Y 0.0000 0.0000 0.2462 1
Mg1 Mg 0.5000 0.5000 0.5000 1
Tl1 Tl 0.5000 0.5000 0.0000 1
```

This record from Alexandria describes a PBEsol-optimized structure of Y2MgTl. The functional is meta-GGA SCAN.

Geometry as CIF:
```
data_Y2MgTl
_cell_length_a 4.8360
_cell_length_b 3.6141
_cell_length_c 12.1965
_cell_angle_alpha 90.00
_cell_angle_beta 90.00
_cell_angle_gamma 90.00
_space_group_name_H-M_alt 'A m m 2'
_space_group_IT_number 38
_space_group_name_Hall 'A 2 -2'
loop_
_atom_site_label
_atom_site_type_symbol
_atom_site_fract_x
_atom_site_fract_y
_atom_site_fract_z
_atom_site_occupancy
Y1 Y 0.0000 0.0000 0.0000 1
Y2 Y 0.5000 0.0000 0.3324 1
Mg1 Mg 0.5000 0.0000 0.5980 1
Tl1 Tl 0.0000 0.0000 0.7388 1
```

This record from Alexandria describes a PBEsol-optimized structure of Y2MgTl. The functional is meta-GGA SCAN.

Geometry as CIF:
```
data_Y2MgTl
_cell_length_a 3.7569
_cell_length_b 5.1413
_cell_length_c 10.8994
_cell_angle_alpha 90.00
_cell_angle_beta 90.00
_cell_angle_gamma 90.00
_space_group_name_H-M_alt 'I m m 2'
_space_group_IT_number 44
_space_group_name_Hall 'I 2 -2'
loop_
_atom_site_label
_atom_site_type_symbol
_atom_site_fract_x
_atom_site_fract_y
_atom_site_fract_z
_atom_site_occupancy
Y1 Y 0.0000 0.0000 0.0000 1
Y2 Y 0.0000 0.5000 0.2338 1
Mg1 Mg 0.0000 0.0000 0.4651 1
Tl1 Tl 0.0000 0.5000 0.7584 1
```

This record from Alexandria describes a PBEsol-optimized structure of YMg2Tl. The functional is meta-GGA SCAN.

Offset from the most stable computed form, eV per atom: 0.114

Geometry as CIF:
```
data_YMg2Tl
_cell_length_a 3.3842
_cell_length_b 4.7194
_cell_length_c 6.4385
_cell_angle_alpha 90.00
_cell_angle_beta 105.39
_cell_angle_gamma 90.00
_space_group_name_H-M_alt 'P 1 m 1'
_space_group_IT_number 6
_space_group_name_Hall 'P -2y'
loop_
_atom_site_label
_atom_site_type_symbol
_atom_site_fract_x
_atom_site_fract_y
_atom_site_fract_z
_atom_site_occupancy
Y1 Y 0.0000 0.0000 0.0000 1
Mg1 Mg 0.2569 0.0000 0.5161 1
Mg2 Mg 0.6567 0.5000 0.3136 1
Tl1 Tl 0.3960 0.5000 0.7928 1
```

This record from Alexandria describes a PBEsol-optimized structure of MgTl2Zn. The functional is meta-GGA SCAN.

Offset from the most stable computed form, eV per atom: 0.023

Geometry as CIF:
```
data_MgTl2Zn
_cell_length_a 9.9745
_cell_length_b 3.4272
_cell_length_c 5.5234
_cell_angle_alpha 90.00
_cell_angle_beta 103.45
_cell_angle_gamma 90.00
_space_group_name_H-M_alt 'C 1 2/m 1'
_space_group_IT_number 12
_space_group_name_Hall '-C 2y'
loop_
_atom_site_label
_atom_site_type_symbol
_atom_site_fract_x
_atom_site_fract_y
_atom_site_fract_z
_atom_site_occupancy
Mg1 Mg 0.0000 0.0000 0.0000 1
Tl1 Tl 0.2411 0.0000 0.7409 1
Zn1 Zn 0.0000 0.5000 0.5000 1
```

This record from Alexandria describes a PBEsol-optimized structure of Mg2TlZn. The functional is meta-GGA SCAN.

Geometry as CIF:
```
data_Mg2TlZn
_cell_length_a 3.3126
_cell_length_b 3.3126
_cell_length_c 7.4828
_cell_angle_alpha 90.00
_cell_angle_beta 90.00
_cell_angle_gamma 90.00
_space_group_name_H-M_alt 'P 4/m m m'
_space_group_IT_number 123
_space_group_name_Hall '-P 4 2'
loop_
_atom_site_label
_atom_site_type_symbol
_atom_site_fract_x
_atom_site_fract_y
_atom_site_fract_z
_atom_site_occupancy
Mg1 Mg 0.0000 0.0000 0.2161 1
Tl1 Tl 0.5000 0.5000 0.5000 1
Zn1 Zn 0.5000 0.5000 0.0000 1
```

This record from Alexandria describes a PBEsol-optimized structure of MgTl2Zn. The functional is meta-GGA SCAN.

Offset from the most stable computed form, eV per atom: 0.000

Geometry as CIF:
```
data_MgTl2Zn
_cell_length_a 3.4537
_cell_length_b 3.4537
_cell_length_c 26.6551
_cell_angle_alpha 90.00
_cell_angle_beta 90.00
_cell_angle_gamma 120.00
_space_group_name_H-M_alt 'R -3 m'
_space_group_IT_number 166
_space_group_name_Hall '-R 3 2"'
loop_
_atom_site_label
_atom_site_type_symbol
_atom_site_fract_x
_atom_site_fract_y
_atom_site_fract_z
_atom_site_occupancy
Mg1 Mg 0.0000 0.0000 0.0000 1
Tl1 Tl 0.0000 0.0000 0.2451 1
Zn1 Zn 0.0000 0.0000 0.5000 1
```

This record from Alexandria describes a PBEsol-optimized structure of Mg2TlZn. The functional is meta-GGA SCAN.

Geometry as CIF:
```
data_Mg2TlZn
_cell_length_a 6.9748
_cell_length_b 6.9748
_cell_length_c 6.9748
_cell_angle_alpha 90.00
_cell_angle_beta 90.00
_cell_angle_gamma 90.00
_space_group_name_H-M_alt 'F -4 3 m'
_space_group_IT_number 216
_space_group_name_Hall 'F -4 2 3'
loop_
_atom_site_label
_atom_site_type_symbol
_atom_site_fract_x
_atom_site_fract_y
_atom_site_fract_z
_atom_site_occupancy
Mg1 Mg 0.0000 0.0000 0.0000 1
Mg2 Mg 0.2500 0.2500 0.2500 1
Tl1 Tl 0.2500 0.2500 0.7500 1
Zn1 Zn 0.0000 0.0000 0.5000 1
```

This record from Alexandria describes a PBEsol-optimized structure of Mg2TlZn. The functional is meta-GGA SCAN.

Geometry as CIF:
```
data_Mg2TlZn
_cell_length_a 3.3700
_cell_length_b 4.7315
_cell_length_c 10.6355
_cell_angle_alpha 90.00
_cell_angle_beta 90.00
_cell_angle_gamma 90.00
_space_group_name_H-M_alt 'I m m 2'
_space_group_IT_number 44
_space_group_name_Hall 'I 2 -2'
loop_
_atom_site_label
_atom_site_type_symbol
_atom_site_fract_x
_atom_site_fract_y
_atom_site_fract_z
_atom_site_occupancy
Mg1 Mg 0.0000 0.0000 0.0000 1
Mg2 Mg 0.0000 0.5000 0.2201 1
Tl1 Tl 0.0000 0.5000 0.7751 1
Zn1 Zn 0.0000 0.0000 0.5050 1
```

This record from Alexandria describes a PBEsol-optimized structure of MgTl2Zn. The functional is meta-GGA SCAN.

Offset from the most stable computed form, eV per atom: 0.040

Geometry as CIF:
```
data_MgTl2Zn
_cell_length_a 3.7660
_cell_length_b 5.2714
_cell_length_c 9.4032
_cell_angle_alpha 90.00
_cell_angle_beta 90.00
_cell_angle_gamma 90.00
_space_group_name_H-M_alt 'I m m m'
_space_group_IT_number 71
_space_group_name_Hall '-I 2 2'
loop_
_atom_site_label
_atom_site_type_symbol
_atom_site_fract_x
_atom_site_fract_y
_atom_site_fract_z
_atom_site_occupancy
Mg1 Mg 0.0000 0.0000 0.0000 1
Tl1 Tl 0.0000 0.5000 0.2324 1
Zn1 Zn 0.0000 0.0000 0.5000 1
```

This record from Alexandria describes a PBEsol-optimized structure of MgZr2Tl. The functional is meta-GGA SCAN.

Geometry as CIF:
```
data_MgZr2Tl
_cell_length_a 10.8244
_cell_length_b 3.2658
_cell_length_c 5.3218
_cell_angle_alpha 90.00
_cell_angle_beta 112.51
_cell_angle_gamma 90.00
_space_group_name_H-M_alt 'C 1 m 1'
_space_group_IT_number 8
_space_group_name_Hall 'C -2y'
loop_
_atom_site_label
_atom_site_type_symbol
_atom_site_fract_x
_atom_site_fract_y
_atom_site_fract_z
_atom_site_occupancy
Mg1 Mg 0.0000 0.0000 0.0000 1
Zr1 Zr 0.2425 0.0000 0.6199 1
Zr2 Zr 0.4923 0.0000 0.4953 1
Tl1 Tl 0.2430 0.5000 0.1127 1
```

no.,total energy (eV/atom),formation energy from the elements (eV per atom)
1,-33.664,-0.409
2,-33.644,-0.390
3,-33.621,-0.366
4,-33.597,-0.343
5,-27.793,-0.256
6,-40.715,0.087
7,-24.064,-0.109
8,-40.738,0.063
9,-23.884,0.071
10,-23.995,-0.040
11,-40.698,0.103
12,-34.823,-0.141